Here is an optimized crystal structure of TbPuCl6 from the Alexandria database. Energies are from PBE-GGA.

POSCAR file:
```
TbPuCl6
1.0
-5.334 2.612 -3.802
6.490 -0.787 -2.645
-1.835 -6.471 -0.251
Cl Tb Pu
6 1 1
direct
0.114 0.400 0.253 Cl
0.600 0.886 0.747 Cl
0.252 0.252 0.746 Cl
0.748 0.748 0.254 Cl
0.886 0.600 0.747 Cl
0.400 0.114 0.253 Cl
0.500 0.500 0.500 Tb
0.000 0.000 0.000 Pu
```

Values from the calculation:
The calculation puts the total magnetization at 0.62 μB per atom. The energy relative to the elements, uncorrected is -16.51 eV/f.u. The calculation puts the volume at 34.045 Å³/atom. The calculation puts the energy above the most stable polymorph in this dataset at 0 meV per atom.